Y2RhSe (PBEsol, relaxed); total DFT energy (no corrections) = -30.43 eV/cell; crystal system = orthorhombic; formation energy without anion corrections = -1.20 eV per atom
1.0
3.754 0.000 0.000
0.000 4.250 0.000
-1.877 0.000 5.303
Rh Se Y
1 1 2
Cartesian
1.877 0.000 0.355 Rh
1.877 2.125 2.239 Se
0.000 0.000 2.830 Y
1.877 2.125 5.182 Y


YRhSe2 (PBEsol, relaxed); total DFT energy (no corrections) = -25.08 eV/cell; crystal system = tetragonal; formation energy without anion corrections = -0.60 eV per atom
1.0
-2.837 1.822 0.037
-1.644 -2.589 1.400
1.520 2.247 5.942
Y Se Rh
1 2 1
Cartesian
-2.241 -0.384 0.718 Y
1.123 1.660 4.390 Se
0.397 0.587 1.552 Se
-1.481 0.740 3.689 Rh


Y2RhSe (PBEsol, relaxed); total DFT energy (no corrections) = -29.42 eV/cell; crystal system = orthorhombic; formation energy without anion corrections = -0.95 eV per atom
1.0
-1.376 4.120 -0.834
-4.426 0.451 -2.196
-3.519 1.805 2.996
Y Rh Se
2 1 1
Cartesian
-2.984 3.664 -0.434 Y
-6.337 2.713 0.399 Y
-0.688 2.060 -0.417 Rh
-3.973 1.128 0.400 Se


Y2RhSe (PBEsol, relaxed); total DFT energy (no corrections) = -30.51 eV/cell; crystal system = trigonal; formation energy without anion corrections = -1.22 eV per atom
1.0
-3.482 1.714 -0.360
-3.258 -2.099 0.418
-2.268 1.263 6.840
Y Rh Se
2 1 1
Cartesian
-2.252 0.192 1.590 Y
-6.756 0.687 5.309 Y
0.000 0.000 0.000 Rh
-4.504 0.439 3.449 Se


YRhSe2 (PBEsol, relaxed); total DFT energy (no corrections) = -26.55 eV/cell; crystal system = monoclinic; formation energy without anion corrections = -0.97 eV per atom
1.0
3.954 0.000 0.000
1.977 4.474 0.188
1.977 1.311 4.457
Se Y Rh
2 1 1
Cartesian
3.954 1.783 1.346 Se
3.954 4.001 3.299 Se
1.977 0.000 0.000 Y
1.977 2.892 2.322 Rh


ZnRhSe2 (PBEsol, relaxed); total DFT energy (no corrections) = -17.90 eV/cell; crystal system = tetragonal; formation energy without anion corrections = -0.12 eV per atom
1.0
-0.643 3.106 -0.866
-2.976 -0.912 -1.061
-2.467 1.144 5.936
Se Zn Rh
2 1 1
Cartesian
-2.245 1.041 5.401 Se
-2.641 1.483 1.038 Se
-1.249 0.579 3.005 Zn
-3.652 1.952 3.469 Rh


Zn3RhSe (PBEsol, relaxed); total DFT energy (no corrections) = -14.76 eV/cell; crystal system = cubic; formation energy without anion corrections = 0.40 eV per atom
1.0
-3.487 0.459 -3.063
-1.818 -4.037 1.465
-2.507 2.290 3.198
Se Zn Rh
1 3 1
Cartesian
-3.906 -0.644 0.800 Se
-0.909 -2.019 0.733 Zn
-1.253 1.145 1.599 Zn
-1.744 0.230 -1.531 Zn
0.000 0.000 0.000 Rh


ZnRh2Se (PBEsol, relaxed); total DFT energy (no corrections) = -22.12 eV/cell; crystal system = monoclinic; formation energy without anion corrections = -0.10 eV per atom
1.0
2.923 0.000 -0.005
0.000 4.517 0.000
-1.304 0.000 4.495
Zn Rh Se
1 2 1
Cartesian
-0.131 2.259 3.395 Zn
2.784 0.000 0.016 Rh
1.347 2.259 1.285 Rh
1.350 0.000 2.032 Se